Compound: Mg4Cd2Hg5
Source: Alexandria via LeMat-Bulk
Functional: PBE-GGA
Structure: relaxed

Geometry as POSCAR:
```
Mg4Cd2Hg5
1.0
-2.926 -3.161 2.091
5.011 -1.987 3.480
-0.303 7.404 4.184
Mg Cd Hg
4 2 5
Cartesian
-0.764 3.548 3.618
3.601 -0.991 2.987
2.546 -1.292 6.137
-1.819 3.246 6.767
1.155 3.648 6.125
0.627 -1.392 3.630
-0.793 0.992 5.183
2.575 1.263 4.572
1.346 0.963 7.659
-1.463 -1.581 1.046
0.436 1.293 2.095
```

Calculated values
total DFT energy (no corrections)	-11.11	eV for the cell shown
total magnetic moment	0.00	μB/f.u.



Compound: Mg2TcNi
Source: Alexandria via LeMat-Bulk
Functional: PBE-GGA
Structure: relaxed

Geometry as POSCAR:
```
Mg2TcNi
1.0
-0.932 3.847 -2.005
0.425 0.369 -4.401
-3.610 0.352 -2.556
Mg Ni Tc
2 1 1
Cartesian
0.000 0.000 0.000
-1.029 1.142 -2.241
-2.058 2.284 -4.481
-3.087 3.426 -6.722
```

Calculated values
total DFT energy (no corrections)	-18.47	eV for the cell shown
total magnetic moment	2.52	μB/f.u.



Compound: Al3HgW
Source: Alexandria via LeMat-Bulk
Functional: PBE-GGA
Structure: relaxed

Geometry as POSCAR:
```
Al3HgW
1.0
4.952 0.000 0.000
0.000 4.952 0.000
0.000 0.000 4.952
Hg W Al
1 1 3
Cartesian
2.476 2.476 2.476
0.000 0.000 0.000
0.000 2.476 0.000
0.000 0.000 2.476
2.476 0.000 0.000
```

Calculated values
total DFT energy (no corrections)	-20.78	eV for the cell shown
total magnetic moment	0.00	μB/f.u.



- What is the total DFT energy (no corrections) in the third record?
  -20.78 eV for the cell shown



- What is the formula in the third record?
  Al3HgW



- The highest total magnetic moment belongs to which entry?
  Mg2TcNi



- What is the total DFT energy (no corrections) in the first record?
  -11.11 eV for the cell shown